Record 1
# ZrZn11

A relaxed ZrZn11 crystal (PBE, Alexandria).

a = 6.795 Å, b = 8.105 Å, c = 8.105 Å
α = 79.88°, β = 65.22°, γ = 65.22°
Element x y z (fractional)
Zn 0.082 0.324 0.916
Zn 0.323 0.676 0.084
Zn 0.323 0.084 0.676
Zn 0.749 0.824 0.584
Zn 0.082 0.916 0.324
Zn 0.375 0.750 0.750
Zr 0.500 0.000 0.000
Zn 0.427 0.824 0.416
Zn 0.875 0.250 0.750
Zr 0.250 0.500 0.500
Zn 0.750 0.500 0.500
Zn 0.594 0.324 0.084
Zn 0.156 0.176 0.416
Zn 0.000 0.000 0.000
Zn 0.001 0.676 0.916
Zn 0.001 0.916 0.676
Zn 0.749 0.584 0.824
Zn 0.668 0.176 0.584
Zn 0.875 0.250 0.250
Zn 0.594 0.084 0.324
Zn 0.875 0.750 0.250
Zn 0.156 0.416 0.176
Zn 0.668 0.584 0.176
Zn 0.427 0.416 0.824

Symmetry   No. 141
Energy of formation from the pure elements   -0.06 eV per atom
Total moment   0.000 μB per formula unit
Fermi-level density of states   5.75 states/eV per cell

Record 2
# Ba6NaPtN

A relaxed Ba6NaPtN crystal (PBE, Alexandria).

a = 7.936 Å, b = 7.936 Å, c = 7.841 Å
α = 90.00°, β = 90.00°, γ = 60.00°
Element x y z (fractional)
Ba 0.364 0.030 0.710
Ba 0.030 0.364 0.290
Ba 0.030 0.606 0.710
Ba 0.364 0.606 0.290
Ba 0.606 0.030 0.290
Ba 0.606 0.364 0.710
Na 0.000 0.000 0.000
N 0.333 0.333 0.500
Pt 0.667 0.667 0.500

Symmetry   No. 149
ΔE_f (raw)   -0.2890 eV/atom
Total moment   0.000 μB per formula unit
Fermi-level density of states   7.15 states/eV per cell

Record 3
# DyZrIrRh

A relaxed DyZrIrRh crystal (PBE, Alexandria).

a = 3.349 Å, b = 3.349 Å, c = 6.851 Å
α = 90.00°, β = 90.00°, γ = 90.00°
Element x y z (fractional)
Ir 0.500 0.500 0.129
Dy 0.000 0.000 0.859
Zr 0.000 0.000 0.355
Rh 0.500 0.500 0.586

Symmetry   No. 99
Energy of formation from the pure elements   -0.83 eV per atom
Total moment   0.000 μB per formula unit
Excess energy over the best structure of this formula in the dataset   0.00 eV per formula unit
Fermi-level density of states   2.06 states/eV per cell

Record 4
# NaCu3Se3

A relaxed NaCu3Se3 crystal (PBE, Alexandria).

a = 6.759 Å, b = 6.759 Å, c = 8.398 Å
α = 66.27°, β = 66.27°, γ = 60.00°
Element x y z (fractional)
Se 0.579 0.910 0.270
Na 0.333 0.333 0.000
Cu 0.132 0.468 0.604
Se 0.421 0.090 0.730
Cu 0.468 0.797 0.604
Na 0.667 0.667 0.000
Cu 0.532 0.203 0.396
Cu 0.797 0.132 0.604
Se 0.910 0.241 0.270
Se 0.241 0.579 0.270
Se 0.090 0.759 0.730
Se 0.759 0.421 0.730
Cu 0.203 0.868 0.396
Cu 0.868 0.532 0.396

Symmetry   No. 148
ΔE_f (raw)   -0.3632 eV/atom
Total moment   0.000 μB per formula unit
Excess energy over the best structure of this formula in the dataset   0.00 eV per formula unit
Fermi-level density of states   10.87 states/eV per cell